# 1
The following is a PBE calculation of a relaxed structure of CdCoMo2, from the Alexandria database.

Lattice parameters (Å, degrees): 7.1856 7.1856 5.1612 90.00 90.00 90.00
Closest atoms and distances in Å follow each position.
Space group I-42d (No. 122)
Asymmetric unit:
Cd1 0.0000 0.0000 0.0000 x4  2 Co 2.58
Co1 0.0000 0.0000 0.5000 x4  4 Mo 2.37, 2 Cd 2.58
Mo1 0.1957 0.7500 0.6250 x8  2 Co 2.37

Calculated values
E_tot   -6.701 eV per atom
Density of states at the Fermi level   6.8 states/eV/f.u.
Crystal system   tetragonal
M_tot   0.00 μB per formula unit

---

# 2
The following is a PBE calculation of a relaxed structure of CdCoMo2, from the Alexandria database.

Lattice parameters (Å, degrees): 5.3006 8.6102 2.6961 90.00 90.00 90.00
Closest atoms and distances in Å follow each position.
Space group Cmmm (No. 65)
Asymmetric unit:
Cd1 0.0000 0.0000 0.0000 x2  2 Co 2.65, 2 Cd 2.70, 8 Mo 2.86
Co1 0.0000 0.5000 0.0000 x2  2 Cd 2.65, 2 Co 2.70, 8 Mo 2.86
Mo1 0.2500 0.2500 0.5000 x4  4 Mo 2.65-2.70, 4 Cd 2.86, 4 Co 2.86

Calculated values
E_tot   -6.962 eV per atom
Density of states at the Fermi level   4.7 states/eV/f.u.
Crystal system   orthorhombic
M_tot   0.53 μB per formula unit

---

# 3
The following is a PBE calculation of a relaxed structure of CdCoMo2, from the Alexandria database.

Lattice parameters (Å, degrees): 2.7053 4.3392 5.4071 90.00 97.40 90.00
Closest atoms and distances in Å follow each position.
Space group Pm (No. 6)
Asymmetric unit:
Cd1 0.0000 0.0000 0.0000 x1  2 Co 2.68, 2 Cd 2.71, 7 Mo 2.87-2.97
Co1 0.9737 0.5000 0.2900 x1  3 Mo 2.51-2.65, 2 Cd 2.68, 2 Co 2.71
Mo1 0.4047 0.5000 0.7291 x1  1 Co 2.51, 4 Mo 2.65-2.71
Mo2 0.6065 0.0000 0.4806 x1  4 Mo 2.65-2.71, 4 Co 2.65-2.87, 3 Cd 2.87-2.93

Calculated values
E_tot   -7.041 eV per atom
Density of states at the Fermi level   4.4 states/eV/f.u.
Crystal system   monoclinic
M_tot   0.96 μB per formula unit

---

# 4
The following is a PBE calculation of a relaxed structure of CdCoMo2, from the Alexandria database.

Lattice parameters (Å, degrees): 2.7721 2.7721 28.1179 90.00 90.00 120.00
Closest atoms and distances in Å follow each position.
Space group R-3m (No. 166, hexagonal axes)
Asymmetric unit:
Cd1 0.0000 0.0000 0.0000 x3  6 Cd 2.77, 6 Mo 3.07
Co1 0.0000 0.0000 0.5000 x3  6 Mo 2.62, 6 Co 2.77
Mo1 0.0000 0.0000 0.2403 x6  3 Co 2.62, 6 Mo 2.77

Calculated values
E_tot   -7.032 eV per atom
Density of states at the Fermi level   4.6 states/eV/f.u.
Crystal system   trigonal
M_tot   0.71 μB per formula unit